## RbMoO2F (PBE+U)

Data for crystalline RbMoO2F at its relaxed geometry.

The electronic total energy comes out at -29.492 eV for the cell shown. The value obtained for the density of states at the Fermi level is 1.4 states/eV/cell.

Lattice parameters (Å, degrees): 4.073 4.073 4.410 90.00 90.00 90.00
Space group P4/mmm (No. 123)
Symmetry-distinct sites (fractional):
Rb1 0.000 0.000 0.000 [1 per cell]
Mo1 0.500 0.500 0.500 [1 per cell]
O1 0.000 0.500 0.500 [2 per cell]
F1 0.500 0.500 0.000 [1 per cell]